No. 1
Compound: BaYAu2
Source: Alexandria
Functional: GGA-PBEsol
Structure: relaxed

a = 3.669 Å, b = 3.669 Å, c = 7.711 Å
α = 90.00°, β = 90.00°, γ = 90.00°
Positions (direct):
Ba 0.500 0.500 0.000
Y 0.500 0.500 0.500
Au 0.000 0.000 0.303
Au 0.000 0.000 0.697

Computed properties:
The value obtained for the energy of formation is -0.7319 eV/atom. The total DFT energy (no corrections) comes out at -0.181 hartree per atom.

---

No. 2
Compound: BaYAu
Source: Alexandria
Functional: GGA-PBEsol
Structure: relaxed

a = 5.004 Å, b = 4.839 Å, c = 4.839 Å
α = 120.00°, β = 90.00°, γ = 90.00°
Positions (direct):
Ba 0.685 0.333 0.667
Y 0.192 0.667 0.333
Au 0.123 0.000 0.000

Computed properties:
The value obtained for the energy of formation is -0.2932 eV/atom. The total DFT energy (no corrections) comes out at -0.169 hartree per atom.

---

No. 3
Compound: BaZnAu2
Source: Alexandria
Functional: GGA-PBEsol
Structure: relaxed

a = 4.523 Å, b = 4.523 Å, c = 6.186 Å
α = 68.56°, β = 68.56°, γ = 60.00°
Positions (direct):
Au 0.301 0.301 0.097
Au 0.029 0.029 0.912
Ba 0.500 0.500 0.499
Zn 0.696 0.696 0.911

Computed properties:
The value obtained for the energy of formation is -0.4580 eV/atom. The total DFT energy (no corrections) comes out at -0.123 hartree per atom.

---

No. 4
Compound: BaZnAu2
Source: Alexandria
Functional: GGA-PBEsol
Structure: relaxed

a = 5.094 Å, b = 5.094 Å, c = 5.094 Å
α = 60.00°, β = 60.00°, γ = 60.00°
Positions (direct):
Ba 0.500 0.500 0.500
Zn 0.250 0.250 0.250
Au 0.750 0.750 0.750
Au 0.000 0.000 0.000

Computed properties:
The value obtained for the energy of formation is -0.2134 eV/atom. The total DFT energy (no corrections) comes out at -0.114 hartree per atom.

---

No. 5
Compound: BaZn2Au
Source: Alexandria
Functional: GGA-PBEsol
Structure: relaxed

a = 4.473 Å, b = 4.469 Å, c = 6.216 Å
α = 110.85°, β = 89.99°, γ = 119.89°
Positions (direct):
Ba 0.248 0.495 0.741
Zn 0.056 0.113 0.169
Zn 0.756 0.512 0.267
Au 0.440 0.881 0.322

Computed properties:
The value obtained for the energy of formation is -0.3672 eV/atom. The total DFT energy (no corrections) comes out at -0.098 hartree per atom.

---

No. 6
Compound: BaZnAu2
Source: Alexandria
Functional: GGA-PBEsol
Structure: relaxed

a = 4.394 Å, b = 4.771 Å, c = 5.063 Å
α = 90.00°, β = 90.00°, γ = 90.00°
Positions (direct):
Au 0.500 0.500 0.718
Au 0.500 0.000 0.028
Zn 0.500 0.500 0.221
Ba 0.000 0.000 0.532

Computed properties:
The value obtained for the energy of formation is -0.4355 eV/atom. The total DFT energy (no corrections) comes out at -0.122 hartree per atom.